Compound: CaGeIr2
Source: the Alexandria database
Functional: GGA-PBE
Structure: optimized geometry

Geometry as POSCAR:
```
CaGeIr2
1.0
-3.677 3.677 2.867
3.677 -3.677 2.867
3.677 3.677 -2.867
Ca Ge Ir
2 2 4
direct
0.000 0.000 0.000 Ca
0.750 0.250 0.500 Ca
0.250 0.750 0.500 Ge
0.500 0.500 0.000 Ge
0.192 0.625 0.067 Ir
0.375 0.442 0.567 Ir
0.558 0.125 0.933 Ir
0.875 0.808 0.433 Ir
```

Results
symmetry: I-42d
uncorrected energy: -6.098 eV/atom
DFT formation energy: -0.0133 eV/atom



Compound: TiNb2Os
Source: the Alexandria database
Functional: GGA-PBE
Structure: optimized geometry

Geometry as POSCAR:
```
TiNb2Os
1.0
3.184 0.000 0.000
0.000 3.184 0.000
0.000 0.000 6.594
Ti Nb Os
1 2 1
direct
0.000 0.000 0.000 Ti
0.500 0.500 0.256 Nb
0.500 0.500 0.744 Nb
0.000 0.000 0.500 Os
```

Results
symmetry: P4/mmm
energy above the lowest structure with this stoichiometry: 99 meV/atom
uncorrected energy: -10.014 eV/atom
DFT formation energy: -0.1984 eV/atom



Compound: Cs2CoSbI6
Source: the Alexandria database
Functional: GGA-PBE
Structure: optimized geometry

Geometry as POSCAR:
```
Cs2CoSbI6
1.0
0.000 5.902 5.902
5.902 0.000 5.902
5.902 5.902 0.000
Cs Co Sb I
2 1 1 6
direct
0.250 0.250 0.250 Cs
0.750 0.750 0.750 Cs
0.000 0.000 0.000 Co
0.500 0.500 0.500 Sb
0.239 0.239 0.761 I
0.239 0.761 0.239 I
0.239 0.761 0.761 I
0.761 0.239 0.239 I
0.761 0.239 0.761 I
0.761 0.761 0.239 I
```

Results
symmetry: Fm-3m
ΔE_f (raw): -0.646 eV per atom
uncorrected energy: -2.870 eV/atom



Compound: Ta2Mn2Fe
Source: the Alexandria database
Functional: GGA-PBE
Structure: optimized geometry

Geometry as POSCAR:
```
Ta2Mn2Fe
1.0
5.967 0.000 0.000
0.000 5.967 0.000
0.000 0.000 3.989
Ta Mn Fe
4 4 2
direct
0.185 0.315 0.000 Ta
0.315 0.815 0.000 Ta
0.685 0.185 0.000 Ta
0.815 0.685 0.000 Ta
0.127 0.627 0.500 Mn
0.373 0.127 0.500 Mn
0.627 0.873 0.500 Mn
0.873 0.373 0.500 Mn
0.000 0.000 0.500 Fe
0.500 0.500 0.500 Fe
```

Results
symmetry: P4/mbm
energy above the lowest structure with this stoichiometry: 0 meV/atom
uncorrected energy: -10.019 eV/atom
DFT formation energy: 0.0828 eV/atom



Compound: KP3
Source: the Alexandria database
Functional: GGA-PBE
Structure: optimized geometry

Geometry as POSCAR:
```
KP3
1.0
-2.157 2.157 4.179
2.157 -2.157 4.179
2.157 2.157 -4.179
K P
1 3
direct
0.000 0.000 0.000 K
0.250 0.750 0.500 P
0.500 0.500 0.000 P
0.750 0.250 0.500 P
```

Results
symmetry: I4/mmm
energy above the lowest structure with this stoichiometry: 857 meV/atom
uncorrected energy: -3.577 eV/atom
DFT formation energy: 0.7547 eV/atom



Compound: Cd5Bi2
Source: the Alexandria database
Functional: GGA-PBE
Structure: optimized geometry

Geometry as POSCAR:
```
Cd5Bi2
1.0
8.823 -2.831 0.000
8.823 2.831 0.000
-0.537 0.000 7.481
Cd Bi
10 4
direct
0.136 0.435 0.679 Cd
0.140 0.860 0.750 Cd
0.309 0.556 0.416 Cd
0.435 0.136 0.179 Cd
0.444 0.691 0.084 Cd
0.556 0.309 0.916 Cd
0.565 0.864 0.821 Cd
0.691 0.444 0.584 Cd
0.860 0.140 0.250 Cd
0.864 0.565 0.321 Cd
0.012 0.705 0.076 Bi
0.295 0.988 0.424 Bi
0.705 0.012 0.576 Bi
0.988 0.295 0.924 Bi
```

Results
symmetry: C2/c
energy above the lowest structure with this stoichiometry: 0 meV/atom
uncorrected energy: -1.711 eV/atom
DFT formation energy: 0.0517 eV/atom



Compound: Dy6TeS12
Source: the Alexandria database
Functional: GGA-PBE
Structure: optimized geometry

Geometry as POSCAR:
```
Dy6TeS12
1.0
5.884 3.397 3.818
-5.884 3.397 3.818
0.000 -6.794 3.818
Dy Te S
6 1 12
direct
0.137 0.643 0.829 Dy
0.171 0.863 0.357 Dy
0.357 0.171 0.863 Dy
0.643 0.829 0.137 Dy
0.829 0.137 0.643 Dy
0.863 0.357 0.171 Dy
0.500 0.500 0.500 Te
0.072 0.321 0.917 S
0.083 0.928 0.679 S
0.160 0.520 0.463 S
0.321 0.917 0.072 S
0.463 0.160 0.520 S
0.480 0.537 0.840 S
0.520 0.463 0.160 S
0.537 0.840 0.480 S
0.679 0.083 0.928 S
0.840 0.480 0.537 S
0.917 0.072 0.321 S
0.928 0.679 0.083 S
```

Results
symmetry: R-3
ΔE_f (raw): -1.565 eV per atom
uncorrected energy: -5.791 eV/atom



| no. | calculated volume (Å³/atom) |
| --- | --- |
| 1 | 19.4 |
| 2 | 16.7 |
| 3 | 41.1 |
| 4 | 14.2 |
| 5 | 19.4 |
| 6 | 26.7 |
| 7 | 24.1 |